Entry 1:
A plane-wave DFT calculation with PBE-GGA was carried out for crystalline NaRe3Pt at its relaxed geometry.

Properties
The total magnetic moment is 1.4 μB/cell. The value obtained for the energy relative to the lowest polymorph listed for this composition is 601.1 meV/atom. Its density is 15.25 g cm⁻³. The calculation puts the total energy at -5.99 eV/atom. As for the space group: Pm-3m (221). As for the formation energy from the elements: 1422 kJ/mol of formula units.

Unit cell a=4.3896 b=4.3896 c=4.3896 alpha=90.00 beta=90.00 gamma=90.00
Atoms (fractional coordinates):
Na  0.0000  0.0000  0.0000
Re  0.0000  0.0000  0.5000
Re  0.0000  0.5000  0.0000
Re  0.5000  0.0000  0.0000
Pt  0.5000  0.5000  0.5000

***

Entry 2:
A plane-wave DFT calculation with PBE-GGA was carried out for crystalline NaRePt at its relaxed geometry.

Properties
The total magnetic moment is 0.0 μB/cell. The value obtained for the energy relative to the lowest polymorph listed for this composition is 513.1 meV/atom. Its density is 13.66 g cm⁻³. The calculation puts the total energy at -6.12 eV/atom. As for the space group: Pnma (62). As for the formation energy from the elements: 140 kJ/mol of formula units.

Unit cell a=4.9916 b=4.6199 c=8.5218 alpha=90.00 beta=90.00 gamma=90.00
Atoms (fractional coordinates):
Na  0.1236  0.2500  0.0244
Na  0.3764  0.7500  0.5244
Na  0.6236  0.2500  0.4756
Na  0.8764  0.7500  0.9756
Re  0.1006  0.2500  0.6864
Re  0.3994  0.7500  0.1864
Re  0.6006  0.2500  0.8136
Re  0.8994  0.7500  0.3136
Pt  0.1265  0.2500  0.3565
Pt  0.3735  0.7500  0.8565
Pt  0.6265  0.2500  0.1435
Pt  0.8735  0.7500  0.6435

***

Entry 3:
A plane-wave DFT calculation with PBE-GGA was carried out for crystalline NaRePt at its relaxed geometry.

Properties
The total magnetic moment is 0.0 μB/cell. The value obtained for the energy relative to the lowest polymorph listed for this composition is 913.7 meV/atom. Its density is 11.97 g cm⁻³. The calculation puts the total energy at -5.72 eV/atom. As for the space group: F-43m (216). As for the formation energy from the elements: 256 kJ/mol of formula units.

Unit cell a=6.0754 b=6.0754 c=6.0754 alpha=90.00 beta=90.00 gamma=90.00
Atoms (fractional coordinates):
Na  0.0000  0.0000  0.0000
Na  0.0000  0.5000  0.5000
Na  0.5000  0.0000  0.5000
Na  0.5000  0.5000  0.0000
Re  0.0000  0.0000  0.5000
Re  0.0000  0.5000  0.0000
Re  0.5000  0.0000  0.0000
Re  0.5000  0.5000  0.5000
Pt  0.2500  0.2500  0.7500
Pt  0.2500  0.7500  0.2500
Pt  0.7500  0.2500  0.2500
Pt  0.7500  0.7500  0.7500

***

Entry 4:
A plane-wave DFT calculation with PBE-GGA was carried out for crystalline NaRePt at its relaxed geometry.

Properties
The total magnetic moment is 0.0 μB/cell. The value obtained for the energy relative to the lowest polymorph listed for this composition is 99.2 meV/atom. Its density is 12.67 g cm⁻³. The calculation puts the total energy at -6.53 eV/atom. As for the space group: P-1 (2). As for the formation energy from the elements: 20 kJ/mol of formula units.

Unit cell a=2.7030 b=6.3061 c=6.3077 alpha=81.64 beta=86.20 gamma=86.20
Atoms (fractional coordinates):
Na  0.0014  0.3366  0.1636
Na  0.9986  0.6634  0.8364
Re  0.0486  0.1252  0.6253
Re  0.9514  0.8748  0.3747
Pt  0.5000  0.0000  0.0000
Pt  0.5000  0.5000  0.5000

***

Entry 5:
A plane-wave DFT calculation with PBE-GGA was carried out for crystalline NaRePt at its relaxed geometry.

Properties
The total magnetic moment is 0.0 μB/cell. The value obtained for the energy relative to the lowest polymorph listed for this composition is 321.5 meV/atom. Its density is 12.93 g cm⁻³. The calculation puts the total energy at -6.31 eV/atom. As for the space group: Cm (8). As for the formation energy from the elements: 85 kJ/mol of formula units.

Unit cell a=8.8877 b=4.0432 c=5.9780 alpha=90.00 beta=104.82 gamma=90.00
Atoms (fractional coordinates):
Na  0.0000  0.0000  0.0000
Na  0.1619  0.5000  0.8821
Na  0.5000  0.5000  0.0000
Na  0.6619  0.0000  0.8821
Re  0.1849  0.5000  0.4003
Re  0.3010  0.0000  0.6086
Re  0.6849  0.0000  0.4003
Re  0.8010  0.5000  0.6086
Pt  0.3509  0.0000  0.1911
Pt  0.4968  0.5000  0.5024
Pt  0.8509  0.5000  0.1911
Pt  0.9968  0.0000  0.5024

***

Entry 6:
A plane-wave DFT calculation with PBE-GGA was carried out for crystalline NaRePt at its relaxed geometry.

Properties
The total magnetic moment is 0.0 μB/cell. The value obtained for the energy relative to the lowest polymorph listed for this composition is 488.8 meV/atom. Its density is 12.64 g cm⁻³. The calculation puts the total energy at -6.14 eV/atom. As for the space group: P-6m2 (187). As for the formation energy from the elements: 133 kJ/mol of formula units.

Unit cell a=4.5825 b=4.5825 c=5.8422 alpha=90.00 beta=90.00 gamma=120.00
Atoms (fractional coordinates):
Na  0.0000  0.0000  0.0000
Na  0.0000  0.0000  0.5000
Re  0.6667  0.3333  0.1942
Re  0.6667  0.3333  0.8058
Pt  0.3333  0.6667  0.2364
Pt  0.3333  0.6667  0.7636

***

Entry 7:
A plane-wave DFT calculation with PBE-GGA was carried out for crystalline NaRePt at its relaxed geometry.

Properties
The total magnetic moment is 0.0 μB/cell. The value obtained for the energy relative to the lowest polymorph listed for this composition is 717.3 meV/atom. Its density is 12.96 g cm⁻³. The calculation puts the total energy at -5.91 eV/atom. As for the space group: P6_3mc (186). As for the formation energy from the elements: 199 kJ/mol of formula units.

Unit cell a=4.4705 b=4.4705 c=5.9852 alpha=90.00 beta=90.00 gamma=120.00
Atoms (fractional coordinates):
Na  0.0000  0.0000  0.0000
Na  0.0000  0.0000  0.5000
Re  0.3333  0.6667  0.2882
Re  0.6667  0.3333  0.7882
Pt  0.3333  0.6667  0.7122
Pt  0.6667  0.3333  0.2122

***

Entry 8:
A plane-wave DFT calculation with PBE-GGA was carried out for crystalline NaRePt at its relaxed geometry.

Properties
The total magnetic moment is 0.0 μB/cell. The value obtained for the energy relative to the lowest polymorph listed for this composition is 202.5 meV/atom. Its density is 12.08 g cm⁻³. The calculation puts the total energy at -6.43 eV/atom. As for the space group: Pnma (62). As for the formation energy from the elements: 50 kJ/mol of formula units.

Unit cell a=7.6557 b=3.8791 c=7.4835 alpha=90.00 beta=90.00 gamma=90.00
Atoms (fractional coordinates):
Na  0.0157  0.2500  0.1338
Na  0.4843  0.7500  0.6338
Na  0.5157  0.2500  0.3662
Na  0.9843  0.7500  0.8662
Re  0.0958  0.2500  0.5347
Re  0.4042  0.7500  0.0347
Re  0.5958  0.2500  0.9653
Re  0.9042  0.7500  0.4653
Pt  0.2254  0.7500  0.3229
Pt  0.2746  0.2500  0.8229
Pt  0.7254  0.7500  0.1771
Pt  0.7746  0.2500  0.6771

***

Entry 9:
A plane-wave DFT calculation with PBE-GGA was carried out for crystalline NaRePt at its relaxed geometry.

Properties
The total magnetic moment is 0.0 μB/cell. The value obtained for the energy relative to the lowest polymorph listed for this composition is 141.6 meV/atom. Its density is 13.28 g cm⁻³. The calculation puts the total energy at -6.49 eV/atom. As for the space group: P-1 (2). As for the formation energy from the elements: 33 kJ/mol of formula units.

Unit cell a=2.7102 b=4.7030 c=8.2039 alpha=75.35 beta=87.86 gamma=89.96
Atoms (fractional coordinates):
Na  0.2464  0.3928  0.1871
Na  0.7536  0.6072  0.8129
Re  0.1852  0.7748  0.4429
Re  0.8148  0.2252  0.5571
Pt  0.2622  0.0901  0.8485
Pt  0.7378  0.9099  0.1515

***

Entry 10:
A plane-wave DFT calculation with PBE-GGA was carried out for crystalline NaRePt at its relaxed geometry.

Properties
The total magnetic moment is 0.0 μB/cell. The value obtained for the energy relative to the lowest polymorph listed for this composition is 133.0 meV/atom. Its density is 11.94 g cm⁻³. The calculation puts the total energy at -6.50 eV/atom. As for the space group: C2/m (12). As for the formation energy from the elements: 30 kJ/mol of formula units.

Unit cell a=6.1077 b=13.9783 c=2.7338 alpha=90.00 beta=105.58 gamma=90.00
Atoms (fractional coordinates):
Na  0.0000  0.2004  0.0000
Na  0.0000  0.7996  0.0000
Na  0.5000  0.2996  0.0000
Na  0.5000  0.7004  0.0000
Re  0.1895  0.0000  0.7941
Re  0.3105  0.5000  0.2059
Re  0.6895  0.5000  0.7941
Re  0.8105  0.0000  0.2059
Pt  0.0000  0.3974  0.5000
Pt  0.0000  0.6026  0.5000
Pt  0.5000  0.1026  0.5000
Pt  0.5000  0.8974  0.5000

***

Entry 11:
A plane-wave DFT calculation with PBE-GGA was carried out for crystalline NaRePt at its relaxed geometry.

Properties
The total magnetic moment is 6.0 μB/cell. The value obtained for the energy relative to the lowest polymorph listed for this composition is 2050.7 meV/atom. Its density is 5.74 g cm⁻³. The calculation puts the total energy at -4.58 eV/atom. As for the space group: P6_3/mmc (194). As for the formation energy from the elements: 585 kJ/mol of formula units.

Unit cell a=5.3270 b=5.3270 c=9.5263 alpha=90.00 beta=90.00 gamma=120.00
Atoms (fractional coordinates):
Na  0.3333  0.6667  0.2500
Na  0.6667  0.3333  0.7500
Re  0.0000  0.0000  0.2500
Re  0.0000  0.0000  0.7500
Pt  0.0000  0.0000  0.0000
Pt  0.0000  0.0000  0.5000

***

Entry 12:
A plane-wave DFT calculation with PBE-GGA was carried out for crystalline NaRePtSe2 at its relaxed geometry.

Properties
The total magnetic moment is 4.7 μB/cell. The value obtained for the energy relative to the elements, uncorrected is 109.7 kJ/mol of atoms. The value obtained for the energy relative to the lowest polymorph listed for this composition is 235.5 meV/atom. Its density is 7.58 g cm⁻³. The calculation puts the total energy at -4.22 eV/atom. As for the space group: P4/mmm (123).

Unit cell a=4.9687 b=4.9687 c=4.9898 alpha=90.00 beta=90.00 gamma=90.00
Atoms (fractional coordinates):
Na  0.0000  0.0000  0.0000
Re  0.5000  0.5000  0.0000
Pt  0.0000  0.0000  0.5000
Se  0.0000  0.5000  0.5000
Se  0.5000  0.0000  0.5000

***

Entry 13:
A plane-wave DFT calculation with PBE-GGA was carried out for crystalline NaRePtSe2 at its relaxed geometry.

Properties
The total magnetic moment is 0.0 μB/cell. The value obtained for the energy relative to the elements, uncorrected is 87.0 kJ/mol of atoms. The value obtained for the energy relative to the lowest polymorph listed for this composition is 0.0 meV/atom. Its density is 7.64 g cm⁻³. The calculation puts the total energy at -4.45 eV/atom. As for the space group: P4/mmm (123).

Unit cell a=4.7192 b=4.7192 c=5.4867 alpha=90.00 beta=90.00 gamma=90.00
Atoms (fractional coordinates):
Na  0.0000  0.0000  0.0000
Re  0.0000  0.0000  0.5000
Pt  0.5000  0.5000  0.0000
Se  0.0000  0.5000  0.5000
Se  0.5000  0.0000  0.5000